# 1
# Al2ZnAu

Crystalline Al2ZnAu at its relaxed geometry (GGA-PBE, Alexandria).

Properties
energy of formation	-0.107	eV per atom
total energy	-3.12	eV per atom
mass density	7.99	g cm⁻³

Lattice parameters (Å, degrees): 4.9683 4.9683 4.9683 132.34 132.28 69.74
Closest atoms and distances in Å follow each position.
Positions (direct):
Al1 0.7498 0.2498 0.5000  4 Zn 2.84, 4 Au 2.86, 4 Al 2.86
Au1 0.5002 0.5002 0.0000  8 Al 2.84-2.86, 4 Zn 2.86
Zn1 0.2502 0.7502 0.5000  8 Al 2.84-2.86, 4 Au 2.86
Al2 0.9998 0.9998 0.0000  4 Au 2.84, 4 Zn 2.86, 4 Al 2.86


# 2
# AlZn2Au5

Crystalline AlZn2Au5 at its relaxed geometry (GGA-PBE, Alexandria).

Properties
offset from the most stable computed form	0.00	kJ/mol of atoms
energy of formation	-0.228	eV per atom
total energy	-3.06	eV per atom
mass density	14.11	g cm⁻³

Lattice parameters (Å, degrees): 4.3601 5.6228 10.9666 90.00 90.00 90.00
Closest atoms and distances in Å follow each position.
Positions (direct):
Au1 0.0000 0.3983 0.7657  1 Al 2.63, 2 Zn 2.76, 2 Au 2.83
Au2 0.0000 0.1017 0.2657  1 Al 2.63, 2 Zn 2.76, 2 Au 2.83
Al1 0.0000 0.5000 0.0000  8 Au 2.63-2.81
Au3 0.0000 0.0000 0.0000  2 Al 2.81, 4 Zn 2.82, 6 Au 2.97-3.07
Zn1 0.5000 0.8426 0.1410  10 Au 2.75-2.96
Au4 0.5000 0.8271 0.3952  2 Al 2.65, 4 Zn 2.75-2.93
Zn2 0.5000 0.3426 0.3590  10 Au 2.75-2.96
Au5 0.0000 0.6017 0.2343  1 Al 2.63, 2 Zn 2.76, 2 Au 2.83
Au6 0.5000 0.3271 0.1048  2 Al 2.65, 4 Zn 2.75-2.93
Au7 0.0000 0.5000 0.5000  2 Al 2.81, 4 Zn 2.82, 6 Au 2.97-3.07
Au8 0.0000 0.8983 0.7343  1 Al 2.63, 2 Zn 2.76, 2 Au 2.83
Au9 0.5000 0.1729 0.6048  2 Al 2.65, 4 Zn 2.75-2.93
Au10 0.5000 0.6729 0.8952  2 Al 2.65, 4 Zn 2.75-2.93
Zn3 0.5000 0.1574 0.8590  10 Au 2.75-2.96
Al2 0.0000 0.0000 0.5000  8 Au 2.63-2.81
Zn4 0.5000 0.6574 0.6410  10 Au 2.75-2.96


# 3
# AlZnAu14

Crystalline AlZnAu14 at its relaxed geometry (GGA-PBE, Alexandria).

Properties
energy of formation	-0.067	eV per atom
total energy	-3.25	eV per atom
mass density	16.64	g cm⁻³

Lattice parameters (Å, degrees): 5.7232 5.7232 9.3053 90.00 90.00 111.04
Closest atoms and distances in Å follow each position.
Positions (direct):
Au1 0.8761 0.1239 0.2468  9 Au 2.84-2.91, 1 Zn 3.01
Au2 0.3659 0.6341 0.2504  9 Au 2.86-2.91, 1 Al 3.01
Au3 0.6862 0.3138 0.0000  10 Au 2.84-3.04
Au4 0.8599 0.6230 0.2715  1 Al 2.68, 1 Zn 2.74, 5 Au 2.84-2.91
Au5 0.1923 0.3182 0.0000  10 Au 2.83-3.05
Au6 0.6818 0.8077 0.0000  10 Au 2.83-3.05
Zn1 0.0752 0.9248 0.5000  10 Au 2.74-3.01
Au7 0.5831 0.9254 0.5000  2 Al 2.80-2.93, 2 Zn 2.82-2.91, 6 Au 2.87-2.91
Au8 0.3770 0.1401 0.7285  1 Al 2.68, 1 Zn 2.74, 5 Au 2.84-2.91
Au9 0.3659 0.6341 0.7496  9 Au 2.86-2.91, 1 Al 3.01
Au10 0.3770 0.1401 0.2715  1 Al 2.68, 1 Zn 2.74, 5 Au 2.84-2.91
Au11 0.0746 0.4169 0.5000  2 Al 2.80-2.93, 2 Zn 2.82-2.91, 6 Au 2.87-2.91
Au12 0.1806 0.8194 0.0000  10 Au 2.83-3.09
Au13 0.8761 0.1239 0.7532  9 Au 2.84-2.91, 1 Zn 3.01
Al1 0.5685 0.4315 0.5000  8 Au 2.68-2.93
Au14 0.8599 0.6230 0.7285  1 Al 2.68, 1 Zn 2.74, 5 Au 2.84-2.91


# 4
# AlZn4Au5

Crystalline AlZn4Au5 at its relaxed geometry (GGA-PBE, Alexandria).

Properties
offset from the most stable computed form	8.70	kJ/mol of atoms
energy of formation	-0.138	eV per atom
total energy	-2.66	eV per atom
mass density	11.71	g cm⁻³

Lattice parameters (Å, degrees): 5.3425 6.3978 6.3978 79.96 65.32 65.32
Closest atoms and distances in Å follow each position.
Positions (direct):
Au1 0.8639 0.3739 0.8314  1 Al 2.61, 5 Zn 2.64-2.71
Al1 0.1640 0.0000 0.0000  5 Au 2.48-2.61
Au2 0.6272 0.0000 0.0000  1 Al 2.48
Au3 0.2378 0.8314 0.6261  1 Al 2.61, 5 Zn 2.64-2.71
Zn1 0.5433 0.6094 0.2304  6 Au 2.64-2.78
Au4 0.0692 0.6261 0.1686  1 Al 2.61, 5 Zn 2.64-2.71
Zn2 0.1527 0.2304 0.3906  6 Au 2.64-2.78
Zn3 0.3832 0.3906 0.7696  6 Au 2.64-2.78
Au5 0.6953 0.1686 0.3739  1 Al 2.61, 5 Zn 2.64-2.71
Zn4 0.7737 0.7696 0.6094  6 Au 2.64-2.78


# 5
# AlZn2Au

Crystalline AlZn2Au at its relaxed geometry (GGA-PBE, Alexandria).

Properties
energy of formation	-0.117	eV per atom
total energy	-2.51	eV per atom
mass density	8.71	g cm⁻³

Lattice parameters (Å, degrees): 5.6630 5.6630 3.0672 71.59 71.59 118.79
Closest atoms and distances in Å follow each position.
Positions (direct):
Zn1 0.0000 0.0000 0.0000  4 Zn 2.60-2.88, 2 Au 2.76, 2 Al 2.76
Al1 0.5000 0.0000 0.5000  4 Au 2.60-2.88, 4 Zn 2.76
Au1 0.0000 0.5000 0.5000  4 Al 2.60-2.88, 4 Zn 2.76
Zn2 0.5000 0.5000 0.0000  4 Zn 2.60-2.88, 2 Al 2.76, 2 Au 2.76


# 6
# Al3Zn2Au5

Crystalline Al3Zn2Au5 at its relaxed geometry (GGA-PBE, Alexandria).

Properties
energy of formation	-0.263	eV per atom
total energy	-3.28	eV per atom
mass density	11.51	g cm⁻³

Lattice parameters (Å, degrees): 6.1482 7.9032 7.3118 103.00 85.53 90.81
Closest atoms and distances in Å follow each position.
Positions (direct):
Au1 0.0014 0.9824 0.2898  4 Al 2.65-2.86, 2 Zn 2.73-2.88, 2 Au 2.89-2.96
Au2 0.6584 0.2548 0.9020  4 Al 2.58-2.82, 1 Zn 2.75, 1 Au 2.89
Zn1 0.8768 0.6310 0.1313  4 Au 2.57-2.88, 2 Zn 2.80-2.85, 1 Al 2.84
Al1 0.5653 0.5416 0.8119  6 Au 2.58-2.74
Au3 0.4214 0.8331 0.7270  4 Al 2.63-2.80, 2 Zn 2.69-2.72
Al2 0.2690 0.0718 0.0183  6 Au 2.59-2.86
Au4 0.5786 0.1669 0.2730  4 Al 2.63-2.80, 2 Zn 2.69-2.72
Au5 0.3416 0.7452 0.0980  4 Al 2.58-2.82, 1 Zn 2.75, 1 Au 2.89
Zn2 0.6008 0.8641 0.3891  2 Zn 2.64-2.80, 5 Au 2.67-2.75
Au6 0.2783 0.4378 0.5439  2 Zn 2.66-2.67, 4 Al 2.72-2.83, 3 Au 2.90-2.96
Au7 0.7217 0.5622 0.4561  2 Zn 2.66-2.67, 4 Al 2.72-2.83, 3 Au 2.90-2.96
Au8 0.9986 0.0176 0.7102  4 Al 2.65-2.86, 2 Zn 2.73-2.88, 2 Au 2.89-2.96
Al3 0.1281 0.7332 0.4478  7 Au 2.65-2.83, 1 Zn 2.84
Au9 0.0361 0.3328 0.2076  2 Zn 2.57-2.75, 3 Al 2.59-2.80
Zn3 0.1232 0.3690 0.8687  4 Au 2.57-2.88, 2 Zn 2.80-2.85, 1 Al 2.84
Al4 0.4347 0.4584 0.1881  6 Au 2.58-2.74
Al5 0.8719 0.2668 0.5522  7 Au 2.65-2.83, 1 Zn 2.84
Au10 0.9639 0.6672 0.7924  2 Zn 2.57-2.75, 3 Al 2.59-2.80
Al6 0.7310 0.9282 0.9817  6 Au 2.59-2.86
Zn4 0.3992 0.1359 0.6109  2 Zn 2.64-2.80, 5 Au 2.67-2.75


# 7
# Al2ZnAu

Crystalline Al2ZnAu at its relaxed geometry (GGA-PBE, Alexandria).

Properties
energy of formation	-0.180	eV per atom
total energy	-3.19	eV per atom
mass density	7.28	g cm⁻³

Lattice parameters (Å, degrees): 4.3044 4.3044 5.1405 65.25 65.25 60.00
Closest atoms and distances in Å follow each position.
Positions (direct):
Al1 0.2700 0.2700 0.1899  3 Au 2.68, 1 Al 2.71, 4 Zn 2.89-2.96
Au1 0.6772 0.6772 0.9683  6 Al 2.61-2.68, 1 Zn 2.61
Al2 0.0690 0.0690 0.7931  3 Au 2.61, 1 Al 2.71, 3 Zn 2.72
Zn1 0.4838 0.4838 0.5487  1 Au 2.61, 4 Al 2.72-2.89


# 8
# Al2ZnAu3

Crystalline Al2ZnAu3 at its relaxed geometry (GGA-PBE, Alexandria).

Properties
energy of formation	-0.247	eV per atom
total energy	-3.35	eV per atom
mass density	11.43	g cm⁻³

Lattice parameters (Å, degrees): 5.8408 5.0676 8.5527 112.11 98.85 111.04
Closest atoms and distances in Å follow each position.
Positions (direct):
Al1 0.7634 0.2945 0.0729  6 Au 2.60-2.77
Al2 0.3716 0.6496 0.4197  6 Au 2.64-2.93, 1 Zn 2.81, 1 Al 2.94
Al3 0.2366 0.7055 0.9271  6 Au 2.60-2.77
Au1 0.2331 0.2917 0.0577  2 Zn 2.71-2.79, 4 Al 2.72-2.77, 3 Au 2.85-2.98
Au2 0.8674 0.6478 0.4128  3 Al 2.60-2.91, 2 Zn 2.67-2.68, 1 Au 2.90
Au3 0.5908 0.9556 0.2512  4 Al 2.64-2.74, 1 Zn 2.74, 2 Au 2.85-2.90
Au4 0.7669 0.7083 0.9423  2 Zn 2.71-2.79, 4 Al 2.72-2.77, 3 Au 2.85-2.98
Au5 0.1326 0.3522 0.5872  3 Al 2.60-2.91, 2 Zn 2.67-2.68, 1 Au 2.90
Au6 0.4092 0.0444 0.7488  4 Al 2.64-2.74, 1 Zn 2.74, 2 Au 2.85-2.90
Zn1 0.1334 0.9795 0.2663  5 Au 2.67-2.79, 3 Al 2.81-2.97
Zn2 0.8666 0.0205 0.7337  5 Au 2.67-2.79, 3 Al 2.81-2.97
Al4 0.6284 0.3504 0.5803  6 Au 2.64-2.93, 1 Zn 2.81, 1 Al 2.94


# 9
# Al2ZnAu4

Crystalline Al2ZnAu4 at its relaxed geometry (GGA-PBE, Alexandria).

Properties
offset from the most stable computed form	0.00	kJ/mol of atoms
energy of formation	-0.257	eV per atom
total energy	-3.38	eV per atom
mass density	11.66	g cm⁻³

Lattice parameters (Å, degrees): 4.4625 5.5113 10.5049 90.00 90.00 90.00
Closest atoms and distances in Å follow each position.
Positions (direct):
Al1 0.5000 0.8462 0.8193  7 Au 2.57-2.82
Al2 0.5000 0.6538 0.3193  7 Au 2.57-2.82
Au1 0.0000 0.6360 0.7418  4 Al 2.64-2.82, 2 Au 2.76, 1 Zn 2.81
Au2 0.5000 0.2561 0.9420  3 Al 2.57-2.79, 2 Zn 2.68
Au3 0.0000 0.8640 0.2418  4 Al 2.64-2.82, 2 Au 2.76, 1 Zn 2.81
Au4 0.0000 0.3640 0.2582  4 Al 2.64-2.82, 2 Au 2.76, 1 Zn 2.81
Zn1 0.0000 0.0000 0.5000  6 Au 2.68-2.81
Al3 0.5000 0.1538 0.1807  7 Au 2.57-2.82
Au5 0.5000 0.7439 0.0580  3 Al 2.57-2.79, 2 Zn 2.68
Au6 0.5000 0.2439 0.4420  3 Al 2.57-2.79, 2 Zn 2.68
Zn2 0.0000 0.5000 0.0000  6 Au 2.68-2.81
Al4 0.5000 0.3462 0.6807  7 Au 2.57-2.82
Au7 0.5000 0.7561 0.5580  3 Al 2.57-2.79, 2 Zn 2.68
Au8 0.0000 0.1360 0.7582  4 Al 2.64-2.82, 2 Au 2.76, 1 Zn 2.81


# 10
# Al2ZnAu5

Crystalline Al2ZnAu5 at its relaxed geometry (GGA-PBE, Alexandria).

Properties
energy of formation	-0.209	eV per atom
total energy	-3.35	eV per atom
mass density	12.61	g cm⁻³

Lattice parameters (Å, degrees): 5.2274 8.8717 6.9117 79.44 112.22 90.00
Closest atoms and distances in Å follow each position.
Positions (direct):
Au1 0.1308 0.3078 0.4169  2 Zn 2.55-2.82, 2 Al 2.57-2.65, 1 Au 2.81
Al1 0.1223 0.4224 0.7431  6 Au 2.57-2.71
Al2 0.8777 0.5776 0.2569  6 Au 2.57-2.71
Au2 0.2861 0.8078 0.4169  2 Zn 2.55-2.82, 2 Al 2.57-2.65, 1 Au 2.81
Au3 0.4925 0.6315 0.8547  3 Al 2.68-2.71, 3 Au 2.77-2.98, 1 Zn 2.91
Au4 0.0773 0.7500 0.0000  2 Al 2.64, 2 Au 2.81
Au5 0.3622 0.1315 0.8547  3 Al 2.68-2.71, 3 Au 2.77-2.98, 1 Zn 2.91
Au6 0.8692 0.6922 0.5831  2 Zn 2.55-2.82, 2 Al 2.57-2.65, 1 Au 2.81
Zn1 0.5000 0.5000 0.5000  4 Au 2.55-2.82
Au7 0.6378 0.8685 0.1453  3 Al 2.68-2.71, 3 Au 2.77-2.98, 1 Zn 2.91
Zn2 0.0000 0.0000 0.5000  4 Au 2.55-2.82
Al3 0.6209 0.9224 0.7431  6 Au 2.57-2.71
Al4 0.3791 0.0776 0.2569  6 Au 2.57-2.71
Au8 0.7139 0.1922 0.5831  2 Zn 2.55-2.82, 2 Al 2.57-2.65, 1 Au 2.81
Au9 0.9227 0.2500 0.0000  2 Al 2.64, 2 Au 2.81
Au10 0.5075 0.3685 0.1453  3 Al 2.68-2.71, 3 Au 2.77-2.98, 1 Zn 2.91


# 11
# Zr2AlZnAu

Crystalline Zr2AlZnAu at its relaxed geometry (GGA-PBE, Alexandria).

Properties
energy of formation	0.357	eV per atom
total energy	-4.72	eV per atom
mass density	7.14	g cm⁻³

Lattice parameters (Å, degrees): 4.9889 4.4105 4.9889 90.00 90.00 90.00
Closest atoms and distances in Å follow each position.
Positions (direct):
Zr1 0.0000 0.0000 0.5000  2 Zn 2.49
Zr2 0.5000 0.0000 0.0000  2 Zn 2.49
Al1 0.0000 0.5000 0.0000  2 Zn 2.21
Au1 0.5000 0.5000 0.5000  8 Zr 3.33, 4 Al 3.53
Zn1 0.0000 0.0000 0.0000  2 Al 2.21


# 12
# ZrAlAu4

Crystalline ZrAlAu4 at its relaxed geometry (GGA-PBE, Alexandria).

Properties
energy of formation	-0.046	eV per atom
total energy	-4.28	eV per atom
mass density	12.94	g cm⁻³

Lattice parameters (Å, degrees): 5.4792 5.4792 5.4792 60.00 60.00 60.00
Closest atoms and distances in Å follow each position.
Positions (direct):
Zr1 0.7500 0.7500 0.7500  12 Au 3.21, 4 Al 3.36
Au1 0.3751 0.8748 0.3751  6 Au 2.74
Al1 0.0000 0.0000 0.0000  12 Au 3.21, 4 Zr 3.36
Au2 0.3751 0.3751 0.3751  6 Au 2.74
Au3 0.8748 0.3751 0.3751  6 Au 2.74
Au4 0.3751 0.3751 0.8748  6 Au 2.74